Record 1
Here is crystalline BeHgF at its relaxed geometry from OQMD. Energies are from GGA-PBE.

Its space group is No. 189. The value obtained for the total energy is -2.8279 eV/atom.

Cell: 6.266 6.266 4.990 Å, 90.00 90.00 120.00°
Atoms (fractional coordinates):
F: 0.238 0.238 0.500
F: 0.000 0.762 0.500
F: 0.762 0.000 0.500
Be: 0.000 0.000 0.500
Be: 0.333 0.667 0.000
Be: 0.667 0.333 0.000
Hg: 0.727 0.727 0.000
Hg: 0.273 0.000 0.000
Hg: 0.000 0.273 0.000

=====

Record 2
Here is crystalline K2NdBe2F8 at its relaxed geometry from OQMD. Energies are from GGA-PBE.

The magnetization comes out at 1.0 μB per cell. Its space group is No. 166. The value obtained for the total energy is -5.3599 eV/atom.

Cell: 7.324 7.324 7.324 Å, 41.95 41.95 41.95°
Atoms (fractional coordinates):
F: 0.674 0.674 0.674
F: 0.269 0.751 0.269
F: 0.731 0.731 0.249
F: 0.269 0.269 0.751
F: 0.326 0.326 0.326
F: 0.751 0.269 0.269
F: 0.249 0.731 0.731
F: 0.731 0.249 0.731
Nd: 0.000 0.000 0.000
Be: 0.403 0.403 0.403
Be: 0.597 0.597 0.597
K: 0.202 0.202 0.202
K: 0.798 0.798 0.798

=====

Record 3
Here is crystalline K2Be3Zn2F12 at its relaxed geometry from OQMD. Energies are from GGA-PBE.

Its space group is No. 198. The value obtained for the total energy is -4.8753 eV/atom.

Cell: 9.566 9.566 9.566 Å, 90.00 90.00 90.00°
Atoms (fractional coordinates):
F: 0.204 0.471 0.923
F: 0.080 0.825 0.730
F: 0.726 0.511 0.791
F: 0.709 0.274 0.011
F: 0.077 0.704 0.029
F: 0.270 0.580 0.675
F: 0.730 0.080 0.825
F: 0.770 0.920 0.325
F: 0.511 0.791 0.726
F: 0.429 0.351 0.030
F: 0.175 0.230 0.420
F: 0.851 0.470 0.571
F: 0.029 0.077 0.704
F: 0.274 0.011 0.709
F: 0.929 0.149 0.970
F: 0.470 0.571 0.851
F: 0.675 0.270 0.580
F: 0.923 0.204 0.471
F: 0.420 0.175 0.230
F: 0.571 0.851 0.470
F: 0.325 0.770 0.920
F: 0.149 0.970 0.929
F: 0.825 0.730 0.080
F: 0.920 0.325 0.770
F: 0.580 0.675 0.270
F: 0.291 0.774 0.489
F: 0.489 0.291 0.774
F: 0.011 0.709 0.274
F: 0.649 0.530 0.071
F: 0.030 0.429 0.351
F: 0.226 0.989 0.209
F: 0.471 0.923 0.204
F: 0.970 0.929 0.149
F: 0.577 0.796 0.971
F: 0.296 0.529 0.423
F: 0.071 0.649 0.530
F: 0.529 0.423 0.296
F: 0.230 0.420 0.175
F: 0.209 0.226 0.989
F: 0.704 0.029 0.077
F: 0.971 0.577 0.796
F: 0.796 0.971 0.577
F: 0.423 0.296 0.529
F: 0.989 0.209 0.226
F: 0.791 0.726 0.511
F: 0.774 0.489 0.291
F: 0.530 0.071 0.649
F: 0.351 0.030 0.429
K: 0.300 0.700 0.200
K: 0.559 0.559 0.559
K: 0.059 0.941 0.441
K: 0.800 0.800 0.800
K: 0.441 0.059 0.941
K: 0.941 0.441 0.059
K: 0.700 0.200 0.300
K: 0.200 0.300 0.700
Be: 0.028 0.273 0.370
Be: 0.773 0.130 0.972
Be: 0.972 0.773 0.130
Be: 0.870 0.472 0.727
Be: 0.630 0.528 0.227
Be: 0.370 0.028 0.273
Be: 0.130 0.972 0.773
Be: 0.273 0.370 0.028
Be: 0.227 0.630 0.528
Be: 0.472 0.727 0.870
Be: 0.727 0.870 0.472
Be: 0.528 0.227 0.630
Zn: 0.662 0.838 0.162
Zn: 0.162 0.662 0.838
Zn: 0.087 0.087 0.087
Zn: 0.413 0.913 0.587
Zn: 0.838 0.162 0.662
Zn: 0.913 0.587 0.413
Zn: 0.338 0.338 0.338
Zn: 0.587 0.413 0.913

=====

Record 4
Here is crystalline BeNbF at its relaxed geometry from OQMD. Energies are from GGA-PBE.

The magnetization comes out at 0.0 μB per cell. Its space group is No. 36. The value obtained for the total energy is -6.1825 eV/atom.

Cell: 5.785 5.785 4.508 Å, 90.00 90.00 152.24°
Atoms (fractional coordinates):
Nb: 0.408 0.592 0.510
Nb: 0.592 0.408 0.010
F: 0.793 0.207 0.191
F: 0.207 0.793 0.691
Be: 0.090 0.910 0.480
Be: 0.910 0.090 0.980

=====

Record 5
Here is crystalline TaBe2NbF2 at its relaxed geometry from OQMD. Energies are from GGA-PBE.

The magnetization comes out at 0.0 μB per cell. Its space group is No. 38. The value obtained for the total energy is -6.5700 eV/atom.

Cell: 3.285 6.280 6.280 Å, 30.71 90.00 90.00°
Atoms (fractional coordinates):
F: 0.000 0.744 0.744
F: 0.500 0.251 0.251
Ta: 0.500 0.616 0.616
Be: 0.500 0.960 0.960
Be: 0.000 0.042 0.042
Nb: 0.000 0.387 0.387

=====

Record 6
Here is crystalline BePdF6 at its relaxed geometry from OQMD. Energies are from GGA-PBE.

Its space group is No. 148. The value obtained for the total energy is -4.3255 eV/atom.

Cell: 4.934 4.934 4.934 Å, 54.98 54.98 54.98°
Atoms (fractional coordinates):
Be: 0.500 0.500 0.500
Pd: 0.000 0.000 0.000
F: 0.572 0.893 0.268
F: 0.893 0.268 0.572
F: 0.732 0.428 0.107
F: 0.428 0.107 0.732
F: 0.107 0.732 0.428
F: 0.268 0.572 0.893

=====

The lowest total energy belongs to which entry? TaBe2NbF2

=====

What is the total energy in the fifth record? -6.5700 eV/atom

=====

What did the first record say?
Here is crystalline BeHgF at its relaxed geometry from OQMD. Energies are from GGA-PBE.

Its space group is No. 189. The value obtained for the total energy is -2.8279 eV/atom.

Cell: 6.266 6.266 4.990 Å, 90.00 90.00 120.00°
Atoms (fractional coordinates):
F: 0.238 0.238 0.500
F: 0.000 0.762 0.500
F: 0.762 0.000 0.500
Be: 0.000 0.000 0.500
Be: 0.333 0.667 0.000
Be: 0.667 0.333 0.000
Hg: 0.727 0.727 0.000
Hg: 0.273 0.000 0.000
Hg: 0.000 0.273 0.000